[1]
Here is BaTcPb2 after structural relaxation from Alexandria via LeMat-Bulk. Energies are from PBE-GGA.

Calculated values
V: 30.2 A^3/atom
calculated density: 8.92 g/cm3
E: -4.737 eV/atom
polymorph energy (0 for the lowest one): 0.011 eV per atom
calculated formation energy: 0.76 eV/f.u.

a = 6.9526 Å, b = 6.9526 Å, c = 6.9526 Å
α = 39.24°, β = 39.24°, γ = 39.24°
Fractional positions:
Ba (0.2500, 0.2500, 0.2500)
Pb (0.0332, 0.0332, 0.0332)
Pb (0.4668, 0.4668, 0.4668)
Tc (0.7500, 0.7500, 0.7500)



[2]
Here is BaTlTcPb after structural relaxation from Alexandria via LeMat-Bulk. Energies are from PBE-GGA.

Calculated values
V: 38.2 A^3/atom
calculated density: 7.02 g/cm3
E: -4.226 eV/atom
polymorph energy (0 for the lowest one): 0.125 eV per atom
calculated formation energy: 1.46 eV/f.u.

a = 5.2578 Å, b = 5.2918 Å, c = 12.1653 Å
α = 90.00°, β = 115.32°, γ = 90.00°
Fractional positions:
Pb (0.2839, 0.0000, 0.2758)
Pb (0.2839, 0.5000, 0.7758)
Tl (0.7737, 0.0000, 0.7636)
Tl (0.7737, 0.5000, 0.2636)
Ba (0.5259, 0.0000, 0.0157)
Ba (0.5259, 0.5000, 0.5157)
Tc (0.8096, 0.0000, 0.3019)
Tc (0.8096, 0.5000, 0.8019)



[3]
Here is BaTlTcPb after structural relaxation from Alexandria via LeMat-Bulk. Energies are from PBE-GGA.

Calculated values
V: 30.6 A^3/atom
calculated density: 8.77 g/cm3
E: -4.260 eV/atom
polymorph energy (0 for the lowest one): 0.091 eV per atom
calculated formation energy: 1.32 eV/f.u.

a = 6.9989 Å, b = 4.0232 Å, c = 9.8728 Å
α = 90.00°, β = 118.20°, γ = 90.00°
Fractional positions:
Pb (0.5854, 0.0000, 0.2132)
Pb (0.5854, 0.5000, 0.7132)
Tl (0.2916, 0.0000, 0.4456)
Tl (0.2916, 0.5000, 0.9456)
Ba (0.9446, 0.0000, 0.0413)
Ba (0.9446, 0.5000, 0.5413)
Tc (0.3544, 0.0000, 0.7646)
Tc (0.3544, 0.5000, 0.2646)



[4]
Here is BaTlTcPb after structural relaxation from Alexandria via LeMat-Bulk. Energies are from PBE-GGA.

Calculated values
V: 35.5 A^3/atom
calculated density: 7.56 g/cm3
E: -4.045 eV/atom
polymorph energy (0 for the lowest one): 0.307 eV per atom
calculated formation energy: 2.18 eV/f.u.

a = 4.7557 Å, b = 4.7557 Å, c = 21.7696 Å
α = 90.00°, β = 90.00°, γ = 120.00°
Fractional positions:
Pb (0.0000, 0.0000, 0.3387)
Pb (0.3333, 0.6667, 0.0053)
Pb (0.6667, 0.3333, 0.6720)
Tl (0.0000, 0.0000, 0.5655)
Tl (0.3333, 0.6667, 0.2322)
Tl (0.6667, 0.3333, 0.8988)
Ba (0.0000, 0.0000, 0.7890)
Ba (0.3333, 0.6667, 0.4557)
Ba (0.6667, 0.3333, 0.1223)
Tc (0.0000, 0.0000, 0.2200)
Tc (0.3333, 0.6667, 0.8866)
Tc (0.6667, 0.3333, 0.5533)



[5]
Here is BaTlTcPb after structural relaxation from Alexandria via LeMat-Bulk. Energies are from PBE-GGA.

Calculated values
V: 28.3 A^3/atom
calculated density: 9.48 g/cm3
E: -4.134 eV/atom
polymorph energy (0 for the lowest one): 0.217 eV per atom
calculated formation energy: 1.83 eV/f.u.

a = 3.6972 Å, b = 3.6972 Å, c = 28.7221 Å
α = 90.00°, β = 90.00°, γ = 120.00°
Fractional positions:
Pb (0.0000, 0.0000, 0.8322)
Pb (0.3333, 0.6667, 0.4989)
Pb (0.6667, 0.3333, 0.1656)
Tl (0.0000, 0.0000, 0.9626)
Tl (0.3333, 0.6667, 0.6293)
Tl (0.6667, 0.3333, 0.2960)
Ba (0.0000, 0.0000, 0.3950)
Ba (0.3333, 0.6667, 0.0616)
Ba (0.6667, 0.3333, 0.7283)
Tc (0.0000, 0.0000, 0.5633)
Tc (0.3333, 0.6667, 0.2299)
Tc (0.6667, 0.3333, 0.8966)



[6]
Here is BaTlTcPb after structural relaxation from Alexandria via LeMat-Bulk. Energies are from PBE-GGA.

Calculated values
V: 29.2 A^3/atom
calculated density: 9.20 g/cm3
E: -4.277 eV/atom
polymorph energy (0 for the lowest one): 0.074 eV per atom
calculated formation energy: 1.26 eV/f.u.

a = 3.4403 Å, b = 4.5093 Å, c = 15.2652 Å
α = 90.00°, β = 99.43°, γ = 90.00°
Fractional positions:
Pb (0.9669, 0.0000, 0.7742)
Pb (0.9669, 0.5000, 0.2742)
Tl (0.8558, 0.0000, 0.1093)
Tl (0.8558, 0.5000, 0.6093)
Ba (0.2404, 0.0000, 0.4619)
Ba (0.2404, 0.5000, 0.9619)
Tc (0.4721, 0.0000, 0.2637)
Tc (0.4721, 0.5000, 0.7637)



[7]
Here is BaTlTcPb after structural relaxation from Alexandria via LeMat-Bulk. Energies are from PBE-GGA.

Calculated values
V: 26.3 A^3/atom
calculated density: 10.21 g/cm3
E: -4.351 eV/atom
polymorph energy (0 for the lowest one): 0.000 eV per atom
calculated formation energy: 0.96 eV/f.u.

a = 3.5705 Å, b = 3.5710 Å, c = 8.2541 Å
α = 90.00°, β = 90.00°, γ = 90.00°
Fractional positions:
Pb (0.0000, 0.5000, 0.0386)
Tl (0.0000, 0.5000, 0.4165)
Ba (0.5000, 0.0000, 0.7220)
Tc (0.5000, 0.0000, 0.2157)



[8]
Here is BaTlTcPb after structural relaxation from Alexandria via LeMat-Bulk. Energies are from PBE-GGA.

Calculated values
V: 31.1 A^3/atom
calculated density: 8.63 g/cm3
E: -4.271 eV/atom
polymorph energy (0 for the lowest one): 0.080 eV per atom
calculated formation energy: 1.28 eV/f.u.

a = 7.1439 Å, b = 3.9177 Å, c = 9.7187 Å
α = 90.00°, β = 113.78°, γ = 90.00°
Fractional positions:
Pb (0.8956, 0.0000, 0.8451)
Pb (0.8956, 0.5000, 0.3451)
Tl (0.5947, 0.0000, 0.0513)
Tl (0.5947, 0.5000, 0.5513)
Ba (0.2515, 0.0000, 0.2409)
Ba (0.2515, 0.5000, 0.7409)
Tc (0.8703, 0.0000, 0.5454)
Tc (0.8703, 0.5000, 0.0454)



[9]
Here is BaTlTcPb after structural relaxation from Alexandria via LeMat-Bulk. Energies are from PBE-GGA.

Calculated values
V: 29.3 A^3/atom
calculated density: 9.17 g/cm3
E: -4.279 eV/atom
polymorph energy (0 for the lowest one): 0.072 eV per atom
calculated formation energy: 1.25 eV/f.u.

a = 3.4691 Å, b = 4.5666 Å, c = 15.1956 Å
α = 90.00°, β = 103.32°, γ = 90.00°
Fractional positions:
Pb (0.4415, 0.0000, 0.6480)
Pb (0.4415, 0.5000, 0.1480)
Tl (0.6073, 0.0000, 0.3113)
Tl (0.6073, 0.5000, 0.8113)
Ba (0.7879, 0.0000, 0.9961)
Ba (0.7879, 0.5000, 0.4961)
Tc (0.0914, 0.0000, 0.7965)
Tc (0.0914, 0.5000, 0.2965)



[10]
Here is BaTlTcPb after structural relaxation from Alexandria via LeMat-Bulk. Energies are from PBE-GGA.

Calculated values
V: 42.4 A^3/atom
calculated density: 6.34 g/cm3
E: -4.295 eV/atom
polymorph energy (0 for the lowest one): 0.056 eV per atom
calculated formation energy: 1.18 eV/f.u.

a = 5.4326 Å, b = 5.3303 Å, c = 5.8525 Å
α = 90.00°, β = 90.00°, γ = 90.00°
Fractional positions:
Pb (0.0000, 0.5000, 0.5000)
Tl (0.5000, 0.0000, 0.5000)
Ba (0.0000, 0.0000, 0.0000)
Tc (0.0000, 0.0000, 0.5000)



[11]
Here is BaTlTcPb after structural relaxation from Alexandria via LeMat-Bulk. Energies are from PBE-GGA.

Calculated values
V: 31.0 A^3/atom
calculated density: 8.68 g/cm3
E: -4.286 eV/atom
polymorph energy (0 for the lowest one): 0.065 eV per atom
calculated formation energy: 1.22 eV/f.u.

a = 4.7623 Å, b = 4.7623 Å, c = 18.9101 Å
α = 90.00°, β = 90.00°, γ = 120.00°
Fractional positions:
Pb (0.0000, 0.0000, 0.6774)
Pb (0.3333, 0.6667, 0.3441)
Pb (0.6667, 0.3333, 0.0108)
Tl (0.0000, 0.0000, 0.9194)
Tl (0.3333, 0.6667, 0.5861)
Tl (0.6667, 0.3333, 0.2528)
Ba (0.0000, 0.0000, 0.1289)
Ba (0.3333, 0.6667, 0.7955)
Ba (0.6667, 0.3333, 0.4622)
Tc (0.0000, 0.0000, 0.3116)
Tc (0.3333, 0.6667, 0.9783)
Tc (0.6667, 0.3333, 0.6449)



[12]
Here is BaTlTcPb after structural relaxation from Alexandria via LeMat-Bulk. Energies are from PBE-GGA.

Calculated values
V: 29.2 A^3/atom
calculated density: 9.21 g/cm3
E: -4.214 eV/atom
polymorph energy (0 for the lowest one): 0.137 eV per atom
calculated formation energy: 1.51 eV/f.u.

a = 3.5915 Å, b = 11.4123 Å, c = 5.7709 Å
α = 90.00°, β = 99.43°, γ = 90.00°
Fractional positions:
Pb (0.0000, 0.9172, 0.0000)
Pb (0.0000, 0.4172, 0.5000)
Tl (0.0000, 0.5413, 0.0000)
Tl (0.0000, 0.0413, 0.5000)
Ba (0.5000, 0.7222, 0.5000)
Ba (0.5000, 0.2222, 0.0000)
Tc (0.5000, 0.2311, 0.5000)
Tc (0.5000, 0.7311, 0.0000)



[13]
Here is BaTlTcPb after structural relaxation from Alexandria via LeMat-Bulk. Energies are from PBE-GGA.

Calculated values
V: 33.2 A^3/atom
calculated density: 8.09 g/cm3
E: -4.337 eV/atom
polymorph energy (0 for the lowest one): 0.014 eV per atom
calculated formation energy: 1.01 eV/f.u.

a = 4.8424 Å, b = 5.1191 Å, c = 10.7191 Å
α = 90.00°, β = 90.00°, γ = 90.00°
Fractional positions:
Pb (0.0000, 0.5000, 0.3490)
Pb (0.5000, 0.0000, 0.8490)
Tl (0.0000, 0.5000, 0.0351)
Tl (0.5000, 0.0000, 0.5351)
Ba (0.0000, 0.5000, 0.6963)
Ba (0.5000, 0.0000, 0.1963)
Tc (0.0000, 0.0000, 0.9525)
Tc (0.5000, 0.5000, 0.4525)



[14]
Here is BaTlTcPb after structural relaxation from Alexandria via LeMat-Bulk. Energies are from PBE-GGA.

Calculated values
V: 30.2 A^3/atom
calculated density: 8.89 g/cm3
E: -4.322 eV/atom
polymorph energy (0 for the lowest one): 0.029 eV per atom
calculated formation energy: 1.07 eV/f.u.

a = 6.8676 Å, b = 4.7105 Å, c = 8.1396 Å
α = 90.00°, β = 113.38°, γ = 90.00°
Fractional positions:
Pb (0.3968, 0.0000, 0.2841)
Pb (0.3968, 0.5000, 0.7841)
Tl (0.1123, 0.0000, 0.8560)
Tl (0.1123, 0.5000, 0.3560)
Ba (0.7597, 0.0000, 0.0718)
Ba (0.7597, 0.5000, 0.5718)
Tc (0.2650, 0.0000, 0.5739)
Tc (0.2650, 0.5000, 0.0739)



[15]
Here is BaTePb2 after structural relaxation from Alexandria via LeMat-Bulk. Energies are from PBE-GGA.

Calculated values
V: 34.6 A^3/atom
calculated density: 8.16 g/cm3
E: -3.661 eV/atom
polymorph energy (0 for the lowest one): 0.054 eV per atom

a = 4.8944 Å, b = 4.8909 Å, c = 5.7775 Å
α = 90.00°, β = 90.00°, γ = 90.00°
Fractional positions:
Ba (0.0000, 0.5000, 0.5000)
Pb (0.0000, 0.0000, 0.0000)
Pb (0.5000, 0.5000, 0.0000)
Te (0.5000, 0.0000, 0.5000)



[16]
Here is BaTe2Pb after structural relaxation from Alexandria via LeMat-Bulk. Energies are from PBE-GGA.

Calculated values
V: 56.6 A^3/atom
calculated density: 4.40 g/cm3
E: -3.549 eV/atom

a = 9.9194 Å, b = 9.9194 Å, c = 9.9194 Å
α = 30.76°, β = 30.76°, γ = 30.76°
Fractional positions:
Pb (0.0000, 0.0000, 0.0000)
Te (0.8953, 0.8953, 0.8953)
Te (0.1047, 0.1047, 0.1047)
Ba (0.5000, 0.5000, 0.5000)



[17]
Here is Ba3Te4Pb after structural relaxation from Alexandria via LeMat-Bulk. Energies are from PBE-GGA.

Calculated values
V: 42.3 A^3/atom
calculated density: 5.55 g/cm3
E: -4.179 eV/atom
polymorph energy (0 for the lowest one): 0.000 eV per atom

a = 8.5307 Å, b = 8.5285 Å, c = 9.8561 Å
α = 90.00°, β = 90.00°, γ = 109.46°
Fractional positions:
Pb (0.7500, 0.0000, 0.8765)
Pb (0.2500, 0.0000, 0.1235)
Te (0.9936, 0.2457, 0.6299)
Te (0.5007, 0.2368, 0.8835)
Te (0.4936, 0.2457, 0.3701)
Te (0.0007, 0.2368, 0.1165)
Te (0.9993, 0.7632, 0.8835)
Te (0.5064, 0.7543, 0.6299)
Te (0.4993, 0.7632, 0.1165)
Te (0.0064, 0.7543, 0.3701)
Ba (0.7500, 0.0000, 0.3717)
Ba (0.2500, 0.0000, 0.6283)
Ba (0.7500, 0.5000, 0.6289)
Ba (0.7500, 0.5000, 0.1245)
Ba (0.2500, 0.5000, 0.3711)
Ba (0.2500, 0.5000, 0.8755)



[18]
Here is BaTe2Pb after structural relaxation from Alexandria via LeMat-Bulk. Energies are from PBE-GGA.

Calculated values
V: 35.3 A^3/atom
calculated density: 7.04 g/cm3
E: -3.790 eV/atom

a = 6.9985 Å, b = 6.9985 Å, c = 6.9985 Å
α = 139.82°, β = 139.82°, γ = 58.12°
Fractional positions:
Ba (0.5000, 0.5000, 0.0000)
Pb (0.7500, 0.2500, 0.5000)
Te (0.0000, 0.0000, 0.0000)
Te (0.2500, 0.7500, 0.5000)



[19]
Here is BaTePb4 after structural relaxation from Alexandria via LeMat-Bulk. Energies are from PBE-GGA.

Calculated values
V: 34.1 A^3/atom
calculated density: 8.88 g/cm3
E: -3.556 eV/atom

a = 6.6124 Å, b = 6.6124 Å, c = 6.6124 Å
α = 60.00°, β = 60.00°, γ = 60.00°
Fractional positions:
Ba (0.0000, 0.0000, 0.0000)
Te (0.7500, 0.7500, 0.7500)
Pb (0.8758, 0.3747, 0.3747)
Pb (0.3747, 0.3747, 0.8758)
Pb (0.3747, 0.8758, 0.3747)
Pb (0.3747, 0.3747, 0.3747)



[20]
Here is BaTePb2 after structural relaxation from Alexandria via LeMat-Bulk. Energies are from PBE-GGA.

Calculated values
V: 40.2 A^3/atom
calculated density: 7.02 g/cm3
E: -3.700 eV/atom
polymorph energy (0 for the lowest one): 0.016 eV per atom

a = 4.7130 Å, b = 4.7009 Å, c = 7.2580 Å
α = 90.00°, β = 90.00°, γ = 90.00°
Fractional positions:
Ba (0.5000, 0.5000, 0.6787)
Pb (0.0000, 0.0000, 0.0424)
Pb (0.5000, 0.5000, 0.1709)
Te (0.0000, 0.0000, 0.6080)



[21]
Here is Ba2TePb after structural relaxation from Alexandria via LeMat-Bulk. Energies are from PBE-GGA.

Calculated values
V: 39.9 A^3/atom
calculated density: 6.34 g/cm3
E: -3.497 eV/atom
polymorph energy (0 for the lowest one): 0.195 eV per atom

a = 6.0893 Å, b = 6.0893 Å, c = 6.0893 Å
α = 60.00°, β = 60.00°, γ = 60.00°
Fractional positions:
Pb (0.5000, 0.5000, 0.5000)
Te (0.0000, 0.0000, 0.0000)
Ba (0.2500, 0.2500, 0.2500)
Ba (0.7500, 0.7500, 0.7500)



[22]
Here is Ba2TePb after structural relaxation from Alexandria via LeMat-Bulk. Energies are from PBE-GGA.

Calculated values
V: 39.5 A^3/atom
calculated density: 6.40 g/cm3
E: -3.609 eV/atom
polymorph energy (0 for the lowest one): 0.082 eV per atom

a = 6.1609 Å, b = 6.1609 Å, c = 4.1630 Å
α = 90.00°, β = 90.00°, γ = 90.00°
Fractional positions:
Ba (0.0000, 0.0000, 0.0000)
Ba (0.5000, 0.5000, 0.0000)
Pb (0.5000, 0.0000, 0.5000)
Te (0.0000, 0.5000, 0.5000)



[23]
Here is BaTe2Pb after structural relaxation from Alexandria via LeMat-Bulk. Energies are from PBE-GGA.

Calculated values
V: 40.7 A^3/atom
calculated density: 6.12 g/cm3
E: -4.025 eV/atom

a = 4.6968 Å, b = 8.4356 Å, c = 16.4252 Å
α = 90.00°, β = 90.00°, γ = 90.00°
Fractional positions:
Ba (0.7500, 0.0910, 0.1486)
Ba (0.2500, 0.9090, 0.8514)
Ba (0.7500, 0.5910, 0.3514)
Ba (0.2500, 0.4090, 0.6486)
Te (0.7500, 0.2634, 0.4948)
Te (0.2500, 0.7366, 0.5052)
Te (0.7500, 0.7634, 0.0052)
Te (0.2500, 0.2366, 0.9948)
Te (0.7500, 0.1580, 0.7537)
Te (0.2500, 0.3420, 0.2537)
Te (0.7500, 0.6580, 0.7463)
Te (0.2500, 0.8420, 0.2463)
Pb (0.2500, 0.6016, 0.1015)
Pb (0.2500, 0.1016, 0.3985)
Pb (0.7500, 0.3984, 0.8985)
Pb (0.7500, 0.8984, 0.6015)



[24]
Here is BaTe2Pb after structural relaxation from Alexandria via LeMat-Bulk. Energies are from PBE-GGA.

Calculated values
V: 39.9 A^3/atom
calculated density: 6.25 g/cm3
E: -4.006 eV/atom

a = 4.7394 Å, b = 4.7394 Å, c = 8.6412 Å
α = 74.08°, β = 74.08°, γ = 60.00°
Fractional positions:
Ba (0.4989, 0.4989, 0.5032)
Te (0.0770, 0.0770, 0.7690)
Te (0.2566, 0.2566, 0.2302)
Pb (0.6675, 0.6675, 0.9976)



[25]
Here is BaTe2Pb after structural relaxation from Alexandria via LeMat-Bulk. Energies are from PBE-GGA.

Calculated values
V: 39.6 A^3/atom
calculated density: 6.29 g/cm3
E: -3.930 eV/atom

a = 8.5863 Å, b = 8.5863 Å, c = 8.5863 Å
α = 150.10°, β = 149.78°, γ = 43.02°
Fractional positions:
Ba (0.4574, 0.4574, 0.0000)
Pb (0.2067, 0.7067, 0.5000)
Te (0.0511, 0.0511, 0.0000)
Te (0.7848, 0.2848, 0.5000)



[26]
Here is Ba2TePb after structural relaxation from Alexandria via LeMat-Bulk. Energies are from PBE-GGA.

Calculated values
V: 37.8 A^3/atom
calculated density: 6.69 g/cm3
E: -3.129 eV/atom
polymorph energy (0 for the lowest one): 0.562 eV per atom

a = 5.9801 Å, b = 5.9801 Å, c = 5.9801 Å
α = 60.00°, β = 60.00°, γ = 60.00°
Fractional positions:
Ba (0.0000, 0.0000, 0.0000)
Ba (0.2500, 0.2500, 0.2500)
Pb (0.5000, 0.5000, 0.5000)
Te (0.7500, 0.7500, 0.7500)